Crystalline Fe2WBr at its relaxed geometry. Source: Alexandria via LeMat-Bulk, functional GGA-PBE.

Results
The value obtained for the density of states at the Fermi level is 3.2 states/eV per cell. Its space group is No. 47. The calculation puts the calculated total energy at -29.62 eV per cell. The formation energy (no corrections) comes out at 46.6 kJ per mole of atoms.

```
data_Fe2WBr
_chemical_formula_sum 'Fe2 W1 Br1'
_cell_length_a 2.975
_cell_length_b 3.065
_cell_length_c 6.882
_cell_angle_alpha 90.01
_cell_angle_beta 90.00
_cell_angle_gamma 90.00
_symmetry_space_group_name_H-M 'P 1'
_symmetry_Int_Tables_number 1
loop_
_symmetry_equiv_pos_as_xyz
'x,y,z'
loop_
_atom_site_label
_atom_site_fract_x
_atom_site_fract_y
_atom_site_fract_z
W1 0.500 0.250 0.250
Fe1 0.000 0.750 0.055
Fe2 0.000 0.750 0.445
Br1 0.500 0.750 0.750
```